Material: V2CuIrCl
Method: DFT, PBE-GGA
State: relaxed

- raw formation energy (kcal/mol of atoms) = 36.2
- magnetic moment (μB/cell) = 0.00
- N(E_F) (states/eV per atom) = 2.44
- density (g cm⁻³) = 7.5
- space-group type = No. 123

Cell: 4.6249 4.6249 4.0458 Å, 90.00 90.00 90.00°
Last column: nearest neighbours and their distance in Å.
Atoms (fractional coordinates):
1 V 0.0000 0.5000 0.0000  2 Cu 2.31
2 V 0.5000 0.0000 0.0000  2 Cu 2.31
3 Cu 0.0000 0.0000 0.0000  2 Cl 2.02
4 Ir 0.5000 0.5000 0.5000  8 V 3.07, 4 Cl 3.27
5 Cl 0.0000 0.0000 0.5000  2 Cu 2.02